Arrangement 1

KB | GGA-PBE | optimized geometry

The structure in CIF format:
```
data_KB
_space_group_name_H-M_alt 'P 42/m n m'
_space_group_IT_number 136
_space_group_name_Hall '-P 4n 2n'
_cell_length_a 6.756
_cell_length_b 6.756
_cell_length_c 5.860
_cell_angle_alpha 90.00
_cell_angle_beta 90.00
_cell_angle_gamma 90.00
loop_
_atom_site_label
_atom_site_type_symbol
_atom_site_fract_x
_atom_site_fract_y
_atom_site_fract_z
K1 K 0.191 0.191 0.000
B1 B 0.083 0.083 0.500
```

The value obtained for the density is 1.2 g/cm³. The spin magnetization is 4.0 Bohr magnetons per cell.

***

Arrangement 2

KB | GGA-PBE | optimized geometry

The structure in CIF format:
```
data_KB
_space_group_name_H-M_alt 'I 4/m m m'
_space_group_IT_number 139
_space_group_name_Hall '-I 4 2'
_cell_length_a 11.929
_cell_length_b 11.929
_cell_length_c 3.188
_cell_angle_alpha 90.00
_cell_angle_beta 90.00
_cell_angle_gamma 90.00
loop_
_atom_site_label
_atom_site_type_symbol
_atom_site_fract_x
_atom_site_fract_y
_atom_site_fract_z
K1 K 0.000 0.251 0.000
B1 B 0.247 0.247 0.500
```

The value obtained for the density is 1.5 g/cm³. The spin magnetization is 0.9 Bohr magnetons per cell.

***

The computed energies, referenced to the most stable structure and given in meV per atom, are arrangement 1 881; arrangement 2 0.